(1)
P2Pt2Se: relaxed, PBE.

Cell lengths 5.889, 5.889, 5.889 Å; angles 138.43, 138.43, 60.24 degrees
Fractional positions:
P (0.627, 0.627, 0.000)
P (0.373, 0.373, 0.000)
Pt (0.250, 0.750, 0.500)
Pt (0.750, 0.250, 0.500)
Se (0.000, 0.000, 0.000)

Results
Raw formation energy   0.37 eV/f.u.
Space-group type   I4/mmm, No. 139

(2)
Li4Nd3PaS8: relaxed, PBE.

Cell lengths 8.022, 7.759, 8.020 Å; angles 121.15, 120.01, 90.00 degrees
Last column: magnetic moment on the atom in μB.
Fractional positions:
Li (0.500, 0.000, 0.000)  0.00
Li (0.500, 0.000, 0.500)  0.00
Li (0.000, 0.000, 0.000)  0.00
Li (0.000, 0.000, 0.500)  0.00
Nd (0.500, 0.500, 0.000)  0.07
Nd (0.500, 0.500, 0.500)  0.07
Nd (0.000, 0.500, 0.500)  0.07
Pa (0.000, 0.500, 0.000)  1.05
S (0.247, 0.758, 0.011)  -0.01
S (0.247, 0.758, 0.494)  -0.01
S (0.246, 0.238, 0.492)  0.00
S (0.764, 0.758, 0.011)  -0.01
S (0.236, 0.242, 0.989)  -0.01
S (0.754, 0.762, 0.508)  0.00
S (0.753, 0.242, 0.506)  -0.01
S (0.753, 0.242, 0.989)  -0.01

Results
Raw formation energy   -26.94 eV/f.u.
Space-group type   R-3m, No. 166

(3)
Pr3Sm5Tl2: relaxed, PBE.

Cell lengths 6.684, 10.721, 10.721 Å; angles 92.45, 71.84, 71.84 degrees
Fractional positions:
Pr (0.250, 0.000, 0.000)
Pr (0.750, 0.000, 0.000)
Pr (0.377, 0.362, 0.883)
Pr (0.623, 0.638, 0.117)
Pr (0.877, 0.883, 0.362)
Pr (0.123, 0.117, 0.638)
Sm (0.250, 0.500, 0.500)
Sm (0.750, 0.500, 0.500)
Sm (0.504, 0.746, 0.746)
Sm (0.996, 0.254, 0.254)
Sm (0.496, 0.254, 0.254)
Sm (0.004, 0.746, 0.746)
Sm (0.115, 0.548, 0.222)
Sm (0.885, 0.452, 0.778)
Sm (0.615, 0.222, 0.548)
Sm (0.385, 0.778, 0.452)
Tl (0.134, 0.721, 0.011)
Tl (0.866, 0.279, 0.989)
Tl (0.634, 0.011, 0.721)
Tl (0.366, 0.989, 0.279)

Results
ΔH_f (0 K)   70 meV/atom
Space-group type   Ibam, No. 72

(4)
Rb3HgAs: relaxed, PBE.

Cell lengths 5.587, 8.038, 9.688 Å; angles 90.00, 90.00, 90.00 degrees
Fractional positions:
Rb (0.250, 0.784, 0.538)
Rb (0.250, 0.218, 0.750)
Rb (0.250, 0.784, 0.962)
Rb (0.750, 0.216, 0.462)
Rb (0.750, 0.216, 0.038)
Rb (0.750, 0.782, 0.250)
Hg (0.750, 0.585, 0.750)
Hg (0.250, 0.415, 0.250)
As (0.250, 0.079, 0.250)
As (0.750, 0.921, 0.750)

Results
Excess energy over the best structure of this formula in the dataset   0.0 meV/atom
ΔH_f (0 K)   -304 meV/atom
Space-group type   Pmmn, No. 59

(5)
CaTe2PbN: relaxed, PBE.

Cell lengths 5.945, 5.945, 4.416 Å; angles 90.00, 90.00, 90.00 degrees
Last column: magnetic moment on the atom in μB.
Fractional positions:
Pb (0.000, 0.000, 0.000)  -0.01
Ca (0.500, 0.500, 0.500)  0.00
Te (0.000, 0.500, 0.000)  0.09
Te (0.500, 0.000, 0.000)  0.09
N (0.000, 0.000, 0.500)  0.87

Results
Excess energy over the best structure of this formula in the dataset   0.0 meV/atom
Raw formation energy   1.60 eV/f.u.
Space-group type   P4/mmm, No. 123

(6)
BIrPd: relaxed, PBE.

Cell lengths 2.832, 5.590, 5.100 Å; angles 97.28, 105.19, 105.77 degrees
Fractional positions:
B (0.433, 0.813, 0.042)
B (0.567, 0.187, 0.958)
Ir (0.867, 0.889, 0.723)
Ir (0.133, 0.111, 0.277)
Pd (0.933, 0.591, 0.251)
Pd (0.067, 0.409, 0.749)

Results
Excess energy over the best structure of this formula in the dataset   200.0 meV/atom
ΔH_f (0 K)   -75 meV/atom
Space-group type   P-1, No. 2

(7)
PmSm2Ho3: relaxed, PBE.

Cell lengths 3.509, 10.284, 11.749 Å; angles 108.25, 98.59, 90.00 degrees
Fractional positions:
Pm (0.687, 0.038, 0.374)
Pm (0.313, 0.962, 0.626)
Sm (0.691, 0.372, 0.383)
Sm (0.309, 0.628, 0.617)
Sm (0.068, 0.138, 0.136)
Sm (0.932, 0.862, 0.864)
Ho (0.695, 0.715, 0.390)
Ho (0.931, 0.238, 0.863)
Ho (0.559, 0.445, 0.118)
Ho (0.305, 0.285, 0.610)
Ho (0.441, 0.555, 0.882)
Ho (0.069, 0.762, 0.137)

Results
Excess energy over the best structure of this formula in the dataset   0.0 meV/atom
ΔH_f (0 K)   122 meV/atom
Space-group type   C2/m, No. 12

(8)
SrCe2MoN4: relaxed, PBE.

Cell lengths 3.578, 6.376, 11.900 Å; angles 90.00, 90.00, 106.30 degrees
Fractional positions:
Sr (0.118, 0.237, 0.750)
Sr (0.882, 0.763, 0.250)
Ce (0.368, 0.736, 0.540)
Ce (0.632, 0.264, 0.040)
Ce (0.632, 0.264, 0.460)
Ce (0.368, 0.736, 0.960)
Mo (0.853, 0.705, 0.750)
Mo (0.147, 0.295, 0.250)
N (0.256, 0.513, 0.124)
N (0.744, 0.487, 0.624)
N (0.744, 0.487, 0.876)
N (0.256, 0.513, 0.376)
N (0.000, 0.000, 0.500)
N (0.000, 0.000, 0.000)
N (0.427, 0.853, 0.750)
N (0.573, 0.147, 0.250)

Results
Raw formation energy   -7.98 eV/f.u.
Space-group type   Cmcm, No. 63

Computed DOS(E_F), in the same sequence as the records: 0.49, 0.58, 1.43, 0.20, 0.52, 0.62, 1.55, 0.85 states/eV/atom.
Computed total energy, in the same sequence as the records: -5.20, -5.71, -4.20, -1.87, -3.74, -6.99, -4.53, -8.21 eV per atom.